## a
The following is a PBEsol calculation of an optimized crystal structure of Tl2RePt, from the Alexandria database. Values from VASP.

```
&SYSTEM
  ibrav = 0, nat = 4, ntyp = 3
/
ATOMIC_SPECIES
Re 186.21 Re.upf
Tl 204.38 Tl.upf
Pt 195.08 Pt.upf
CELL_PARAMETERS angstrom
-2.4514 1.4417 1.0059
-2.5423 -3.8533 -0.6728
1.0917 -1.5802 4.9252
ATOMIC_POSITIONS crystal
Re 0.0000 0.5000 0.5000
Tl 0.0000 0.0000 0.0000
Tl 0.5000 0.0000 0.5000
Pt 0.5000 0.5000 0.0000
```

Calculated values
- space group = Pmmm (47)


## b
The following is a PBEsol calculation of an optimized crystal structure of Tl2RePt, from the Alexandria database. Values from VASP.

```
&SYSTEM
  ibrav = 0, nat = 4, ntyp = 3
/
ATOMIC_SPECIES
Pt 195.08 Pt.upf
Tl 204.38 Tl.upf
Re 186.21 Re.upf
CELL_PARAMETERS angstrom
2.9939 0.0000 0.0000
0.0000 5.2874 0.0000
-1.4969 -2.6437 4.6904
ATOMIC_POSITIONS crystal
Pt 0.5000 0.0000 0.0000
Tl 0.7536 0.7536 0.5073
Tl 0.2464 0.2464 0.4927
Re 0.0000 0.5000 0.0000
```

Calculated values
- space group = Immm (71)


## c
The following is a PBEsol calculation of an optimized crystal structure of Tl2RePt, from the Alexandria database. Values from VASP.

```
&SYSTEM
  ibrav = 0, nat = 4, ntyp = 3
/
ATOMIC_SPECIES
Tl 204.38 Tl.upf
Re 186.21 Re.upf
Pt 195.08 Pt.upf
CELL_PARAMETERS angstrom
4.7197 0.0000 0.0000
2.3598 4.0873 0.0000
2.3598 1.3624 3.8536
ATOMIC_POSITIONS crystal
Tl 0.7500 0.7500 0.7500
Tl 0.0000 0.0000 0.0000
Re 0.2500 0.2500 0.2500
Pt 0.5000 0.5000 0.5000
```

Calculated values
- space group = F-43m (216)


## d
The following is a PBEsol calculation of an optimized crystal structure of Tl2RePt, from the Alexandria database. Values from VASP.

```
&SYSTEM
  ibrav = 0, nat = 4, ntyp = 3
/
ATOMIC_SPECIES
Tl 204.38 Tl.upf
Pt 195.08 Pt.upf
Re 186.21 Re.upf
CELL_PARAMETERS angstrom
2.9001 0.0000 0.0000
0.0000 4.7142 0.0000
-1.4500 -2.3571 5.8078
ATOMIC_POSITIONS crystal
Tl 0.9617 0.9617 0.9235
Tl 0.7468 0.2468 0.4937
Pt 0.5505 0.5505 0.1011
Re 0.2409 0.7409 0.4818
```

Calculated values
- space group = Imm2 (44)


Unit: eV/atom. Relative energies: a 0.164; b 0.154; c 0.353; d 0.000.


## a
The following is a PBEsol calculation of an optimized crystal structure of ZrRe2Pt, from the Alexandria database. Values from VASP.

```
&SYSTEM
  ibrav = 0, nat = 4, ntyp = 3
/
ATOMIC_SPECIES
Re 186.21 Re.upf
Zr 91.22 Zr.upf
Pt 195.08 Pt.upf
CELL_PARAMETERS angstrom
-2.8352 2.3393 1.3438
-2.6520 -1.5871 -2.8324
1.6795 -3.1220 3.2792
ATOMIC_POSITIONS crystal
Re 0.2587 0.7587 0.5175
Re 0.9889 0.9889 0.9777
Zr 0.5055 0.5055 0.0110
Pt 0.7469 0.2469 0.4938
```

Calculated values
- space group = Imm2 (44)


## b
The following is a PBEsol calculation of an optimized crystal structure of ZrRe2Pt, from the Alexandria database. Values from VASP.

```
&SYSTEM
  ibrav = 0, nat = 4, ntyp = 3
/
ATOMIC_SPECIES
Pt 195.08 Pt.upf
Zr 91.22 Zr.upf
Re 186.21 Re.upf
CELL_PARAMETERS angstrom
-0.5833 2.6446 -0.1158
-2.8427 -1.3991 -3.8822
-1.9411 -1.3009 4.9191
ATOMIC_POSITIONS crystal
Pt 0.0000 0.5000 0.0000
Zr 0.5000 0.0000 0.0000
Re 0.5000 0.5000 0.5000
Re 0.0000 0.0000 0.5000
```

Calculated values
- space group = C2/m (12)


## c
The following is a PBEsol calculation of an optimized crystal structure of ZrRe2Pt, from the Alexandria database. Values from VASP.

```
&SYSTEM
  ibrav = 0, nat = 4, ntyp = 3
/
ATOMIC_SPECIES
Zr 91.22 Zr.upf
Re 186.21 Re.upf
Pt 195.08 Pt.upf
CELL_PARAMETERS angstrom
4.5004 0.0000 0.0000
2.2502 3.8975 0.0000
2.2502 1.2992 3.6746
ATOMIC_POSITIONS crystal
Zr 0.2500 0.2500 0.2500
Re 0.7500 0.7500 0.7500
Re 0.0000 0.0000 0.0000
Pt 0.5000 0.5000 0.5000
```

Calculated values
- space group = F-43m (216)


Unit: eV/atom. Relative energies: a 0.000; b 0.149; c 0.172.